# 1
# ReNi2

A relaxed structure of ReNi2 (GGA-PBE, Alexandria).

Unit cell a=4.661 b=4.661 c=15.164 alpha=90.00 beta=90.00 gamma=120.00
Element x y z (fractional)
1 Re 0.000 0.000 0.094
2 Re 0.000 0.000 0.406
3 Re 0.000 0.000 0.594
4 Re 0.000 0.000 0.906
5 Re 0.333 0.667 0.157
6 Re 0.333 0.667 0.343
7 Re 0.667 0.333 0.657
8 Re 0.667 0.333 0.843
9 Ni 0.000 0.500 0.000
10 Ni 0.000 0.500 0.500
11 Ni 0.163 0.327 0.750
12 Ni 0.163 0.837 0.750
13 Ni 0.327 0.163 0.250
14 Ni 0.333 0.667 0.625
15 Ni 0.333 0.667 0.875
16 Ni 0.500 0.000 0.000
17 Ni 0.500 0.000 0.500
18 Ni 0.500 0.500 0.000
19 Ni 0.500 0.500 0.500
20 Ni 0.667 0.333 0.125
21 Ni 0.667 0.333 0.375
22 Ni 0.673 0.837 0.750
23 Ni 0.837 0.163 0.250
24 Ni 0.837 0.673 0.250

=====

# 2
# ReNi2

A relaxed structure of ReNi2 (GGA-PBE, Alexandria).

Unit cell a=8.283 b=8.283 c=8.283 alpha=162.41 beta=152.68 gamma=32.68
Element x y z (fractional)
1 Re 0.361 0.111 0.250
2 Re 0.639 0.889 0.750
3 Ni 0.063 0.313 0.750
4 Ni 0.212 0.462 0.750
5 Ni 0.788 0.538 0.250
6 Ni 0.937 0.687 0.250

=====

# 3
# ReNi4

A relaxed structure of ReNi4 (GGA-PBE, Alexandria).

Unit cell a=6.160 b=6.160 c=6.160 alpha=149.11 beta=149.11 gamma=44.25
Element x y z (fractional)
1 Re 0.000 0.000 0.000
2 Ni 0.250 0.750 0.500
3 Ni 0.400 0.400 0.000
4 Ni 0.600 0.600 0.000
5 Ni 0.750 0.250 0.500

=====

Number 1: ΔE_f 36 meV/atom, total magnetic moment 4.16 μB per cell. Number 2: ΔE_f 267 meV/atom, total magnetic moment 0.00 μB per cell. Number 3: ΔE_f 486 meV/atom, total magnetic moment 1.40 μB per cell.